# NaInTe2

An optimized crystal structure of NaInTe2 (PBE-GGA, Alexandria).

abc: 4.4902 7.5627 9.0430
angles: 89.44 81.33 79.11
Space group P1 (No. 1)
One atom of each set of equivalent atoms:
Na: 0.0000 0.0000 0.0000 x1
Na: 0.0406 0.6013 0.2729 x1
In: 0.4205 0.0972 0.4958 x1
In: 0.6615 0.5506 0.7739 x1
Te: 0.2348 0.2921 0.7761 x1
Te: 0.4507 0.7230 0.5226 x1
Te: 0.5717 0.7247 0.0457 x1
Te: 0.9420 0.1941 0.3202 x1

Summary:
**Formation energy without anion corrections**: -0.5568 eV per atom
**Volume**: 37.3 A^3/atom



# Ce2TlSn

An optimized crystal structure of Ce2TlSn (PBE-GGA, Alexandria).

abc: 9.9980 9.0620 4.9854
angles: 90.00 93.50 90.00
Space group C2/m (No. 12)
One atom of each set of equivalent atoms:
Ce: 0.1223 0.2434 0.2510 x8
Tl: 0.1219 0.5000 0.7563 x4
Sn: 0.1344 0.0000 0.7501 x4

Summary:
**Formation energy from the elements**: -0.419 eV per atom
**Volume**: 28.2 A^3/atom